Entry 1:
# HoCdSnPt

Crystalline HoCdSnPt at its relaxed geometry (PBE, Alexandria via LeMat-Bulk).

```
data_HoCdSnPt
_symmetry_space_group_name_H-M 'F -4 3 m'
_symmetry_Int_Tables_number 216
_symmetry_space_group_name_Hall 'F -4 2 3'
_cell_length_a 6.9999
_cell_length_b 6.9999
_cell_length_c 6.9999
_cell_angle_alpha 90.00
_cell_angle_beta 90.00
_cell_angle_gamma 90.00
loop_
_atom_site_label
_atom_site_type_symbol
_atom_site_fract_x
_atom_site_fract_y
_atom_site_fract_z
Ho1 Ho 0.0000 0.0000 0.0000
Cd1 Cd 0.2500 0.2500 0.7500
Sn1 Sn 0.0000 0.0000 0.5000
Pt1 Pt 0.2500 0.2500 0.2500
```

ΔE_f: -56.07 kJ per mole of atoms
total moment: 0.0 μB/f.u.
crystal system: cubic

---

Entry 2:
# TiGa3Ru

Crystalline TiGa3Ru at its relaxed geometry (PBE, Alexandria via LeMat-Bulk).

```
data_TiGa3Ru
_symmetry_space_group_name_H-M 'P m -3 m'
_symmetry_Int_Tables_number 221
_symmetry_space_group_name_Hall '-P 4 2 3'
_cell_length_a 4.7055
_cell_length_b 4.7055
_cell_length_c 4.7055
_cell_angle_alpha 90.00
_cell_angle_beta 90.00
_cell_angle_gamma 90.00
loop_
_atom_site_label
_atom_site_type_symbol
_atom_site_fract_x
_atom_site_fract_y
_atom_site_fract_z
Ti1 Ti 0.0000 0.0000 0.0000
Ga1 Ga 0.0000 0.5000 0.5000
Ru1 Ru 0.5000 0.5000 0.5000
```

ΔE_f: 32.33 kJ per mole of atoms
total moment: 0.0 μB/f.u.
energy above the lowest structure with this stoichiometry: 0 meV per atom
crystal system: cubic

---

Q: Look up the ΔE_f of the second one.
A: 32.33 kJ per mole of atoms